Material: V5NiP6O24
Method: DFT, GGA+U
State: relaxed Values from VASP.

Summary:
The total energy is -7.400 eV per atom.

Geometry as Quantum ESPRESSO input:
```
&SYSTEM
  ibrav = 0, nat = 36, ntyp = 4
/
ATOMIC_SPECIES
V 50.94 V.upf
Ni 58.69 Ni.upf
P 30.97 P.upf
O 16.00 O.upf
ATOMIC_POSITIONS angstrom
V 8.467 0.020 0.014
V 6.207 6.350 4.522
V 8.627 4.926 3.508
V 11.149 8.443 6.013
V 11.066 3.492 2.487
Ni 6.085 1.421 1.012
P 5.588 3.172 3.830
P 7.386 7.713 1.745
P 8.683 6.378 6.718
P 8.603 3.472 0.296
P 9.887 2.128 5.246
P 11.685 6.653 3.185
O 2.454 1.639 2.243
O 3.241 3.995 0.815
O 4.130 3.588 3.509
O 5.471 2.504 5.254
O 6.222 2.314 2.783
O 6.512 4.436 4.007
O 6.343 7.268 0.648
O 7.327 6.624 2.882
O 7.569 4.551 0.047
O 8.027 6.080 5.317
O 8.060 2.017 0.327
O 8.440 2.018 5.686
O 8.804 7.776 1.277
O 9.210 7.864 6.656
O 9.229 3.792 1.698
O 9.741 5.344 6.931
O 9.911 3.224 4.124
O 10.895 2.544 6.353
O 10.738 5.412 3.028
O 11.078 7.500 4.286
O 11.811 7.345 1.799
O 13.120 6.215 3.541
O 14.055 5.899 6.216
O 14.785 8.210 4.715
CELL_PARAMETERS angstrom
8.522 -0.012 -0.009
4.370 7.430 0.000
4.370 2.430 7.022
```